1.
DFT (PBE) results for crystalline PmTh2Sc3 at its relaxed geometry.

Values from the calculation:
formation energy from the elements: 0.02 eV per atom
DFT total energy: -38.5 eV for the cell shown
space group: P4/mmm

Cell and atoms, written as POSCAR:
```
PmTh2Sc3
1.0
3.504 0.000 0.000
0.000 3.504 0.000
0.000 0.000 13.986
Pm Th Sc
1 2 3
Direct
0.000 0.000 0.000
0.000 0.000 0.335
0.000 0.000 0.665
0.500 0.500 0.172
0.500 0.500 0.500
0.500 0.500 0.828
```

2.
DFT (PBE) results for crystalline PmTh2Sc at its relaxed geometry.

Values from the calculation:
formation energy from the elements: 0.07 eV per atom
DFT total energy: -25.7 eV for the cell shown
space group: R3m

Cell and atoms, written as POSCAR:
```
PmTh2Sc
1.0
1.762 1.017 11.434
-1.762 1.017 11.434
0.000 -2.034 11.434
Pm Th Sc
1 2 1
Direct
0.000 0.000 0.000
0.582 0.582 0.582
0.756 0.756 0.756
0.170 0.170 0.170
```

3.
DFT (PBE) results for crystalline PmTh3Sc6 at its relaxed geometry.

Values from the calculation:
formation energy from the elements: 0.21 eV per atom
DFT total energy: -125.7 eV for the cell shown
space group: Cmc2_1

Cell and atoms, written as POSCAR:
```
PmTh3Sc6
1.0
4.325 -7.438 0.000
4.325 7.438 0.000
0.000 0.000 8.856
Pm Th Sc
2 6 12
Direct
0.213 0.787 0.500
0.787 0.213 0.000
0.196 0.359 0.623
0.359 0.196 0.123
0.426 0.574 0.309
0.574 0.426 0.809
0.641 0.804 0.623
0.804 0.641 0.123
0.016 0.608 0.812
0.019 0.981 0.840
0.211 0.435 0.975
0.223 0.777 0.133
0.392 0.984 0.812
0.435 0.211 0.475
0.565 0.789 0.975
0.608 0.016 0.312
0.777 0.223 0.633
0.789 0.565 0.475
0.981 0.019 0.340
0.984 0.392 0.312
```

4.
DFT (PBE) results for crystalline Pm2Th3Sc4 at its relaxed geometry.

Values from the calculation:
formation energy from the elements: 0.11 eV per atom
DFT total energy: -56.1 eV for the cell shown
space group: P3m1

Cell and atoms, written as POSCAR:
```
Pm2Th3Sc4
1.0
3.460 0.000 0.000
-1.730 2.996 0.000
0.000 0.000 25.627
Pm Th Sc
2 3 4
Direct
0.000 0.000 0.000
0.000 0.000 0.235
0.000 0.000 0.783
0.333 0.667 0.120
0.333 0.667 0.467
0.000 0.000 0.361
0.000 0.000 0.577
0.333 0.667 0.675
0.333 0.667 0.891
```

5.
DFT (PBE) results for crystalline PmThSc6 at its relaxed geometry.

Values from the calculation:
formation energy from the elements: 0.04 eV per atom
DFT total energy: -49.8 eV for the cell shown
space group: Cmmm

Cell and atoms, written as POSCAR:
```
PmThSc6
1.0
4.732 -4.743 0.000
4.732 4.743 0.000
0.000 0.000 4.724
Pm Th Sc
1 1 6
Direct
0.000 0.000 0.000
0.500 0.500 0.000
0.000 0.500 0.000
0.253 0.253 0.500
0.254 0.746 0.500
0.500 0.000 0.000
0.746 0.254 0.500
0.747 0.747 0.500
```

6.
DFT (PBE) results for crystalline PmTh2Sc at its relaxed geometry.

Values from the calculation:
formation energy from the elements: 0.15 eV per atom
DFT total energy: -25.3 eV for the cell shown
space group: Fm-3m

Cell and atoms, written as POSCAR:
```
PmTh2Sc
1.0
0.000 3.944 3.944
3.944 0.000 3.944
3.944 3.944 0.000
Pm Th Sc
1 2 1
Direct
0.000 0.000 0.000
0.250 0.250 0.250
0.750 0.750 0.750
0.500 0.500 0.500
```

7.
DFT (PBE) results for crystalline Pm2ThSc4 at its relaxed geometry.

Values from the calculation:
formation energy from the elements: 0.76 eV per atom
DFT total energy: -36.9 eV for the cell shown
space group: I4/mmm

Cell and atoms, written as POSCAR:
```
Pm2ThSc4
1.0
-2.680 2.680 8.207
2.680 -2.680 8.207
2.680 2.680 -8.207
Pm Th Sc
2 1 4
Direct
0.123 0.123 0.000
0.877 0.877 0.000
0.500 0.500 0.000
0.000 0.500 0.500
0.326 0.326 0.000
0.500 0.000 0.500
0.674 0.674 0.000
```

8.
DFT (PBE) results for crystalline Pm4Th3Sc at its relaxed geometry.

Values from the calculation:
formation energy from the elements: 0.04 eV per atom
DFT total energy: -94.6 eV for the cell shown
space group: Pmmn

Cell and atoms, written as POSCAR:
```
Pm4Th3Sc
1.0
5.023 0.000 0.000
0.000 10.076 0.000
0.000 0.000 10.196
Pm Th Sc
8 6 2
Direct
0.250 0.003 0.135
0.250 0.250 0.864
0.250 0.497 0.135
0.250 0.750 0.865
0.750 0.250 0.135
0.750 0.503 0.865
0.750 0.750 0.136
0.750 0.997 0.865
0.250 0.001 0.617
0.250 0.499 0.617
0.250 0.750 0.383
0.750 0.250 0.617
0.750 0.501 0.383
0.750 0.999 0.383
0.250 0.250 0.384
0.750 0.750 0.616
```

9.
DFT (PBE) results for crystalline Pm2Th5Sc5 at its relaxed geometry.

Values from the calculation:
formation energy from the elements: 0.05 eV per atom
DFT total energy: -77.7 eV for the cell shown
space group: C2/m

Cell and atoms, written as POSCAR:
```
Pm2Th5Sc5
1.0
7.389 -2.426 0.000
7.389 2.426 0.000
-4.976 0.000 9.786
Pm Th Sc
2 5 5
Direct
0.082 0.082 0.251
0.918 0.918 0.749
0.000 0.000 0.500
0.167 0.167 0.998
0.249 0.249 0.748
0.751 0.751 0.252
0.833 0.833 0.002
0.333 0.333 0.497
0.415 0.415 0.254
0.500 0.500 0.000
0.585 0.585 0.746
0.667 0.667 0.503
```

10.
DFT (PBE) results for crystalline Pm2ThSc3 at its relaxed geometry.

Values from the calculation:
formation energy from the elements: 0.40 eV per atom
DFT total energy: -33.5 eV for the cell shown
space group: Immm

Cell and atoms, written as POSCAR:
```
Pm2ThSc3
1.0
-1.623 3.169 8.696
1.623 -3.169 8.696
1.623 3.169 -8.696
Pm Th Sc
2 1 3
Direct
0.181 0.181 0.000
0.819 0.819 0.000
0.500 0.500 0.000
0.000 0.500 0.500
0.349 0.849 0.500
0.651 0.151 0.500
```

11.
DFT (PBE) results for crystalline PmThSc5 at its relaxed geometry.

Values from the calculation:
formation energy from the elements: 0.10 eV per atom
DFT total energy: -86.3 eV for the cell shown
space group: C2/c

Cell and atoms, written as POSCAR:
```
PmThSc5
1.0
4.116 -4.609 0.000
4.116 4.609 0.000
-3.695 0.000 10.071
Pm Th Sc
2 2 10
Direct
0.000 0.500 0.000
0.500 0.000 0.500
0.240 0.760 0.750
0.760 0.240 0.250
0.048 0.200 0.663
0.200 0.048 0.163
0.230 0.427 0.464
0.416 0.584 0.250
0.427 0.230 0.964
0.573 0.770 0.036
0.584 0.416 0.750
0.770 0.573 0.536
0.800 0.952 0.837
0.952 0.800 0.337
```

12.
DFT (PBE) results for crystalline PmThSc3 at its relaxed geometry.

Values from the calculation:
formation energy from the elements: 0.26 eV per atom
DFT total energy: -59.7 eV for the cell shown
space group: C2/m

Cell and atoms, written as POSCAR:
```
PmThSc3
1.0
1.709 -7.832 0.000
1.709 7.832 0.000
-0.002 0.000 11.068
Pm Th Sc
2 2 6
Direct
0.136 0.864 0.000
0.864 0.136 0.000
0.146 0.854 0.500
0.854 0.146 0.500
0.003 0.003 0.735
0.329 0.669 0.251
0.331 0.671 0.749
0.669 0.329 0.251
0.671 0.331 0.749
0.997 0.997 0.265
```

13.
DFT (PBE) results for crystalline PmThSc4 at its relaxed geometry.

Values from the calculation:
formation energy from the elements: 0.05 eV per atom
DFT total energy: -74.4 eV for the cell shown
space group: Cmcm

Cell and atoms, written as POSCAR:
```
PmThSc4
1.0
3.314 -9.258 0.000
3.314 9.258 0.000
0.000 0.000 5.337
Pm Th Sc
2 2 8
Direct
0.124 0.876 0.750
0.876 0.124 0.250
0.374 0.626 0.250
0.626 0.374 0.750
0.042 0.459 0.750
0.212 0.295 0.750
0.295 0.212 0.250
0.459 0.042 0.250
0.541 0.958 0.750
0.705 0.788 0.750
0.788 0.705 0.250
0.958 0.541 0.250
```

14.
DFT (PBE) results for crystalline PmThSc6 at its relaxed geometry.

Values from the calculation:
formation energy from the elements: 0.04 eV per atom
DFT total energy: -49.8 eV for the cell shown
space group: P4/mmm

Cell and atoms, written as POSCAR:
```
PmThSc6
1.0
4.721 0.000 0.000
0.000 4.721 0.000
0.000 0.000 9.522
Pm Th Sc
1 1 6
Direct
0.000 0.000 0.000
0.000 0.000 0.500
0.000 0.500 0.254
0.000 0.500 0.746
0.500 0.000 0.254
0.500 0.000 0.746
0.500 0.500 0.000
0.500 0.500 0.500
```

15.
DFT (PBE) results for crystalline Pm3ThSc at its relaxed geometry.

Values from the calculation:
formation energy from the elements: 0.06 eV per atom
DFT total energy: -110.9 eV for the cell shown
space group: Imma

Cell and atoms, written as POSCAR:
```
Pm3ThSc
1.0
-2.520 12.566 5.036
2.520 -12.566 5.036
2.520 12.566 -5.036
Pm Th Sc
12 4 4
Direct
0.022 0.873 0.149
0.170 0.125 0.045
0.224 0.873 0.351
0.274 0.623 0.651
0.420 0.875 0.545
0.472 0.623 0.849
0.528 0.377 0.151
0.580 0.125 0.455
0.726 0.377 0.349
0.776 0.127 0.649
0.830 0.875 0.955
0.978 0.127 0.851
0.124 0.374 0.750
0.374 0.124 0.250
0.626 0.876 0.750
0.876 0.626 0.250
0.079 0.626 0.453
0.327 0.374 0.953
0.673 0.626 0.047
0.921 0.374 0.547
```

16.
DFT (PBE) results for crystalline PmThSc4 at its relaxed geometry.

Values from the calculation:
formation energy from the elements: 0.05 eV per atom
DFT total energy: -37.2 eV for the cell shown
space group: P6/mmm

Cell and atoms, written as POSCAR:
```
PmThSc4
1.0
5.344 0.000 0.000
-2.672 4.628 0.000
0.000 0.000 6.638
Pm Th Sc
1 1 4
Direct
0.000 0.000 0.000
0.000 0.000 0.500
0.333 0.667 0.253
0.333 0.667 0.747
0.667 0.333 0.253
0.667 0.333 0.747
```

17.
DFT (PBE) results for crystalline Pm14ThSc at its relaxed geometry.

Values from the calculation:
formation energy from the elements: 0.03 eV per atom
DFT total energy: -79.8 eV for the cell shown
space group: P4/mmm

Cell and atoms, written as POSCAR:
```
Pm14ThSc
1.0
7.234 0.000 0.000
0.000 7.234 0.000
0.000 0.000 10.270
Pm Th Sc
14 1 1
Direct
0.000 0.000 0.000
0.000 0.500 0.000
0.000 0.500 0.500
0.250 0.250 0.256
0.250 0.250 0.744
0.250 0.750 0.256
0.250 0.750 0.744
0.500 0.000 0.000
0.500 0.000 0.500
0.500 0.500 0.000
0.750 0.250 0.256
0.750 0.250 0.744
0.750 0.750 0.256
0.750 0.750 0.744
0.000 0.000 0.500
0.500 0.500 0.500
```

18.
DFT (PBE) results for crystalline PmTh2Sc at its relaxed geometry.

Values from the calculation:
formation energy from the elements: 0.07 eV per atom
DFT total energy: -25.6 eV for the cell shown
space group: P4/mmm

Cell and atoms, written as POSCAR:
```
PmTh2Sc
1.0
4.964 0.000 0.000
0.000 4.964 0.000
0.000 0.000 5.001
Pm Th Sc
1 2 1
Direct
0.000 0.000 0.000
0.000 0.500 0.500
0.500 0.000 0.500
0.500 0.500 0.000
```

19.
DFT (PBE) results for crystalline PmTh4Sc8 at its relaxed geometry.

Values from the calculation:
formation energy from the elements: 0.23 eV per atom
DFT total energy: -82.1 eV for the cell shown
space group: R-3m

Cell and atoms, written as POSCAR:
```
PmTh4Sc8
1.0
3.548 2.049 8.282
-3.548 2.049 8.282
0.000 -4.097 8.282
Pm Th Sc
1 4 8
Direct
0.000 0.000 0.000
0.000 0.000 0.500
0.000 0.500 0.000
0.500 0.000 0.000
0.500 0.500 0.500
0.253 0.253 0.676
0.253 0.676 0.253
0.281 0.281 0.281
0.324 0.747 0.747
0.676 0.253 0.253
0.719 0.719 0.719
0.747 0.324 0.747
0.747 0.747 0.324
```

20.
DFT (PBE) results for crystalline Pm2Th3Sc8 at its relaxed geometry.

Values from the calculation:
formation energy from the elements: 0.18 eV per atom
DFT total energy: -80.0 eV for the cell shown
space group: C2/m

Cell and atoms, written as POSCAR:
```
Pm2Th3Sc8
1.0
6.299 -5.450 0.000
6.299 5.450 0.000
-2.099 0.000 5.290
Pm Th Sc
2 3 8
Direct
0.202 0.202 0.331
0.798 0.798 0.669
0.260 0.740 0.000
0.500 0.500 0.500
0.740 0.260 0.000
0.063 0.063 0.766
0.070 0.580 0.319
0.337 0.337 0.933
0.420 0.930 0.681
0.580 0.070 0.319
0.663 0.663 0.067
0.930 0.420 0.681
0.937 0.937 0.234
```